Version 1
VASP calculation (GGA-PBE) on ScSbBr2 after structural relaxation.

Summary:
Density of states at the Fermi level   0.32 states/eV per cell
Space-group type   P4mm (99)

Lattice parameters (Å, degrees): 4.194 4.194 8.551 90.00 90.00 90.00
Sites, in units of the cell vectors:
Sc: 0.000 0.000 0.000
Sb: 0.500 0.500 0.044
Br: 0.000 0.000 0.718
Br: 0.500 0.500 0.345



Version 2
VASP calculation (GGA-PBE) on ScSbBr2 after structural relaxation.

Summary:
Density of states at the Fermi level   5.15 states/eV per cell
Space-group type   R3m (160)

Lattice parameters (Å, degrees): 9.776 9.776 9.776 21.49 21.49 21.49
Sites, in units of the cell vectors:
Sc: 0.000 0.000 0.000
Sb: 0.743 0.743 0.743
Br: 0.273 0.273 0.273
Br: 0.488 0.488 0.488



Energy ordering: version 1 at the bottom, the next structure 126 meV per atom above.